A plane-wave DFT calculation with GGA-PBE was carried out for a relaxed PmGe4Ir2 crystal.

Unit cell a=17.4466 b=4.2690 c=6.7516 alpha=90.00 beta=90.00 gamma=90.00
Atoms (fractional coordinates):
Pm  0.1417  0.2500  0.0020
Pm  0.3583  0.7500  0.5020
Pm  0.6417  0.2500  0.4980
Pm  0.8583  0.7500  0.9980
Ge  0.0332  0.7500  0.1353
Ge  0.0659  0.2500  0.5316
Ge  0.1817  0.7500  0.6976
Ge  0.1936  0.7500  0.2810
Ge  0.3064  0.2500  0.7810
Ge  0.3183  0.2500  0.1976
Ge  0.4341  0.7500  0.0316
Ge  0.4668  0.2500  0.6353
Ge  0.5332  0.7500  0.3647
Ge  0.5659  0.2500  0.9684
Ge  0.6817  0.7500  0.8024
Ge  0.6936  0.7500  0.2190
Ge  0.8064  0.2500  0.7190
Ge  0.8183  0.2500  0.3024
Ge  0.9341  0.7500  0.4684
Ge  0.9668  0.2500  0.8647
Ir  0.0321  0.7500  0.7480
Ir  0.2107  0.2500  0.4860
Ir  0.2893  0.7500  0.9860
Ir  0.4679  0.2500  0.2480
Ir  0.5321  0.7500  0.7520
Ir  0.7107  0.2500  0.0140
Ir  0.7893  0.7500  0.5140
Ir  0.9679  0.2500  0.2520

## Properties
* crystal system: orthorhombic
* mass density: 10.8 g/cm³
* uncorrected energy: -6.45 eV per atom